Entry 1:
Entry from Alexandria via LeMat-Bulk: GaSiMo2Os at its PBEsol-relaxed geometry (SCAN).

POSCAR file:
```
GaSiMo2Os
1.0
-0.358 3.577 2.405
0.178 -2.441 3.657
4.381 0.402 0.055
Mo Os Ga Si
2 1 1 1
direct
0.000 0.000 0.500
0.000 0.500 0.000
0.500 0.500 0.500
0.500 0.000 0.000
0.000 0.000 0.000
```

Results
raw formation energy	1529	meV/atom
space group	P4/mmm (123)
total DFT energy (no corrections)	-160.37	eV per cell


Entry 2:
Entry from Alexandria via LeMat-Bulk: NiRu3 at its PBEsol-relaxed geometry (SCAN).

POSCAR file:
```
NiRu3
1.0
-1.214 -2.317 -0.277
2.333 -1.211 -0.097
-0.117 -0.810 7.286
Ru Ni
3 1
direct
0.500 0.500 0.757
0.500 0.500 0.243
0.000 0.000 0.500
0.000 0.000 0.000
```

Results
space group	P4/mmm (123)
E_form	17.9	kJ/mol of atoms
total DFT energy (no corrections)	-119.91	eV per cell


Entry 3:
Entry from Alexandria via LeMat-Bulk: Fe2CuRu at its PBEsol-relaxed geometry (SCAN).

POSCAR file:
```
Fe2CuRu
1.0
2.542 0.000 0.000
0.000 4.443 -0.025
0.000 -1.530 4.171
Fe Ru Cu
2 1 1
direct
0.000 0.500 0.000
0.000 0.000 0.500
0.500 0.000 0.000
0.500 0.500 0.500
```

Results
energy relative to the lowest polymorph listed for this composition	0	meV per atom
space group	Cmmm (65)
E_form	9.8	kJ/mol of atoms
total DFT energy (no corrections)	-85.88	eV per cell


Entry 4:
Entry from Alexandria via LeMat-Bulk: RbNaTa2Cl at its PBEsol-relaxed geometry (SCAN).

POSCAR file:
```
RbNaTa2Cl
1.0
-3.500 -2.156 2.022
1.727 -4.035 -1.312
3.126 -0.313 5.077
Rb Ta Cl Na
1 2 1 1
direct
0.500 0.500 0.500
0.500 0.000 0.000
0.000 0.500 0.000
0.000 0.000 0.000
0.000 0.000 0.500
```

Results
raw formation energy	1141	meV/atom
space group	P4/mmm (123)
total DFT energy (no corrections)	-160.39	eV per cell


Entry 5:
Entry from Alexandria via LeMat-Bulk: Be2AuSe at its PBEsol-relaxed geometry (SCAN).

POSCAR file:
```
Be2AuSe
1.0
3.971 0.000 0.000
-1.985 3.993 0.008
0.000 1.967 3.449
Se Be Au
1 2 1
direct
0.500 0.000 0.500
0.250 0.500 0.250
0.750 0.500 0.750
0.000 0.000 0.000
```

Results
raw formation energy	331	meV/atom
space group	I4/mmm (139)
total DFT energy (no corrections)	-96.62	eV per cell


Entry 6:
Entry from Alexandria via LeMat-Bulk: Hg3Ir at its PBEsol-relaxed geometry (SCAN).

POSCAR file:
```
Hg3Ir
1.0
3.104 0.000 0.000
0.000 4.143 0.000
0.000 0.000 5.819
Hg Ir
3 1
direct
0.500 0.500 0.500
0.000 0.000 0.236
0.000 0.000 0.764
0.500 0.500 0.000
```

Results
energy relative to the lowest polymorph listed for this composition	126	meV per atom
space group	Pmmm (47)
E_form	53.0	kJ/mol of atoms
total DFT energy (no corrections)	-273.40	eV per cell


Entry 7:
Entry from Alexandria via LeMat-Bulk: LaHg2Mo at its PBEsol-relaxed geometry (SCAN).

POSCAR file:
```
LaHg2Mo
1.0
5.062 0.000 0.000
2.531 4.384 0.000
2.531 1.461 4.133
Hg Mo La
2 1 1
direct
0.750 0.750 0.750
0.000 0.000 0.000
0.250 0.250 0.250
0.500 0.500 0.500
```

Results
space group	F-43m (216)
E_form	30.5	kJ/mol of atoms
total DFT energy (no corrections)	-213.06	eV per cell


Entry 8:
Entry from Alexandria via LeMat-Bulk: ZnIr2Pt at its PBEsol-relaxed geometry (SCAN).

POSCAR file:
```
ZnIr2Pt
1.0
-1.264 -1.469 3.355
-2.399 -2.350 -1.933
4.510 -0.711 -0.850
Ir Zn Pt
2 1 1
direct
0.250 0.750 0.500
0.750 0.250 0.500
0.000 0.000 0.000
0.500 0.500 0.000
```

Results
space group	I4/mmm (139)
E_form	-4.9	kJ/mol of atoms
total DFT energy (no corrections)	-226.11	eV per cell


Entry 9:
Entry from Alexandria via LeMat-Bulk: TcW2Cl at its PBEsol-relaxed geometry (SCAN).

POSCAR file:
```
TcW2Cl
1.0
4.420 0.000 0.000
2.210 3.827 0.000
2.210 1.276 3.609
Cl Tc W
1 1 2
direct
0.500 0.500 0.500
0.250 0.250 0.250
0.750 0.750 0.750
0.000 0.000 0.000
```

Results
energy relative to the lowest polymorph listed for this composition	658	meV per atom
raw formation energy	1185	meV/atom
space group	F-43m (216)
total DFT energy (no corrections)	-177.67	eV per cell


Entry 10:
Entry from Alexandria via LeMat-Bulk: CrMoP2 at its PBEsol-relaxed geometry (SCAN).

POSCAR file:
```
CrMoP2
1.0
-1.864 -0.816 -2.208
3.288 -1.214 -2.327
-0.196 -2.888 3.274
P Mo Cr
2 1 1
direct
0.000 0.034 0.000
0.246 0.699 0.492
0.741 0.192 0.482
0.513 0.576 0.026
```

Results
energy relative to the lowest polymorph listed for this composition	220	meV per atom
space group	Cm (8)
E_form	-29.9	kJ/mol of atoms
total DFT energy (no corrections)	-75.31	eV per cell


Entry 11:
Entry from Alexandria via LeMat-Bulk: Zn3B7BrO13 at its PBEsol-relaxed geometry (SCAN).

POSCAR file:
```
Zn3B7BrO13
1.0
8.554 0.000 0.000
0.000 8.577 0.000
0.000 0.000 12.111
Zn O B Br
12 52 28 4
direct
0.018 0.534 0.021
0.983 0.034 0.524
0.260 0.749 0.242
0.482 0.534 0.521
0.483 0.966 0.524
0.740 0.251 0.742
0.760 0.251 0.242
0.240 0.749 0.742
0.017 0.966 0.024
0.517 0.034 0.024
0.518 0.466 0.021
0.982 0.466 0.521
0.668 0.026 0.250
0.950 0.591 0.865
0.232 0.250 0.259
0.823 0.637 0.086
0.966 0.162 0.291
0.677 0.637 0.586
0.912 0.542 0.671
0.332 0.974 0.750
0.957 0.330 0.794
0.466 0.838 0.291
0.450 0.409 0.865
0.832 0.026 0.750
0.165 0.518 0.751
0.588 0.542 0.171
0.037 0.089 0.874
0.768 0.750 0.759
0.835 0.482 0.251
0.642 0.826 0.444
0.912 0.941 0.176
0.329 0.125 0.585
0.050 0.409 0.365
0.537 0.911 0.874
0.588 0.941 0.676
0.671 0.875 0.085
0.858 0.826 0.944
0.168 0.974 0.250
0.034 0.838 0.791
0.043 0.670 0.294
0.383 0.329 0.455
0.323 0.363 0.086
0.732 0.750 0.259
0.617 0.671 0.955
0.142 0.174 0.444
0.463 0.089 0.374
0.665 0.482 0.751
0.412 0.059 0.176
0.883 0.671 0.455
0.534 0.162 0.791
0.088 0.458 0.171
0.550 0.591 0.365
0.177 0.363 0.586
0.963 0.911 0.374
0.171 0.125 0.085
0.117 0.329 0.955
0.088 0.059 0.676
0.412 0.458 0.671
0.829 0.875 0.585
0.268 0.250 0.759
0.543 0.330 0.294
0.335 0.518 0.251
0.457 0.670 0.794
0.358 0.174 0.944
0.253 0.402 0.690
0.753 0.903 0.691
0.094 0.250 0.343
0.243 0.247 0.017
0.247 0.097 0.191
0.743 0.753 0.017
0.002 0.997 0.271
0.543 0.751 0.871
0.406 0.250 0.843
0.043 0.249 0.871
0.998 0.003 0.771
0.498 0.503 0.770
0.253 0.097 0.691
0.747 0.598 0.190
0.906 0.750 0.843
0.498 0.997 0.771
0.002 0.503 0.270
0.257 0.247 0.517
0.594 0.750 0.343
0.753 0.598 0.690
0.247 0.402 0.190
0.502 0.497 0.270
0.502 0.003 0.271
0.747 0.903 0.191
0.998 0.497 0.770
0.757 0.753 0.517
0.457 0.249 0.371
0.957 0.751 0.371
0.730 0.250 0.030
0.230 0.750 0.030
0.270 0.750 0.530
0.770 0.250 0.530
```

Results
raw formation energy	-2358	meV/atom
space group	Pca2_1 (29)
total DFT energy (no corrections)	-998.48	eV per cell


Entry 12:
Entry from Alexandria via LeMat-Bulk: POsRh2 at its PBEsol-relaxed geometry (SCAN).

POSCAR file:
```
POsRh2
1.0
2.824 0.000 0.000
0.000 3.724 0.000
-1.412 0.000 5.050
P Os Rh
1 1 2
direct
0.540 0.500 0.080
0.685 0.000 0.370
0.954 0.000 0.909
0.309 0.500 0.619
```

Results
space group	Amm2 (38)
E_form	-14.9	kJ/mol of atoms
total DFT energy (no corrections)	-150.44	eV per cell


Copy entry 10 word for word.
Entry from Alexandria via LeMat-Bulk: CrMoP2 at its PBEsol-relaxed geometry (SCAN).

POSCAR file:
```
CrMoP2
1.0
-1.864 -0.816 -2.208
3.288 -1.214 -2.327
-0.196 -2.888 3.274
P Mo Cr
2 1 1
direct
0.000 0.034 0.000
0.246 0.699 0.492
0.741 0.192 0.482
0.513 0.576 0.026
```

Results
energy relative to the lowest polymorph listed for this composition	220	meV per atom
space group	Cm (8)
E_form	-29.9	kJ/mol of atoms
total DFT energy (no corrections)	-75.31	eV per cell